No. 1
Entry from the Alexandria database: a PBEsol-optimized structure of KGaHg2N (SCAN).

Cell and atoms, written as POSCAR:
```
KGaHg2N
1.0
5.883 0.000 0.000
0.000 5.883 0.000
0.000 0.000 3.561
K Ga Hg N
1 1 2 1
direct
0.000 0.000 0.000 K
0.500 0.500 0.500 Ga
0.000 0.500 0.500 Hg
0.500 0.000 0.500 Hg
0.500 0.500 0.000 N
```

Properties
raw formation energy = 0.18 eV/atom
space group = P4/mmm (123)


No. 2
Entry from the Alexandria database: a PBEsol-optimized structure of Sr3GaHg (SCAN).

Cell and atoms, written as POSCAR:
```
Sr3GaHg
1.0
6.041 0.000 0.000
0.000 6.041 0.000
0.000 0.000 6.041
Sr Ga Hg
3 1 1
direct
0.000 0.000 0.500 Sr
0.000 0.500 0.000 Sr
0.500 0.000 0.000 Sr
0.000 0.000 0.000 Ga
0.500 0.500 0.500 Hg
```

Properties
formation enthalpy at 0 K = -0.46 eV per formula unit
space group = Pm-3m (221)


No. 3
Entry from the Alexandria database: a PBEsol-optimized structure of Y2TcAg (SCAN).

Cell and atoms, written as POSCAR:
```
Y2TcAg
1.0
4.192 0.000 0.000
0.000 4.192 0.000
0.000 0.000 9.413
Y Tc Ag
4 2 2
direct
0.000 0.000 0.000 Y
0.000 0.500 0.250 Y
0.500 0.000 0.750 Y
0.500 0.500 0.500 Y
0.000 0.500 0.750 Tc
0.500 0.000 0.250 Tc
0.000 0.000 0.500 Ag
0.500 0.500 0.000 Ag
```

Properties
formation enthalpy at 0 K = 0.39 eV per formula unit
space group = I-4m2 (119)